Record 1
GGA-PBE UBeB4, relaxed; DOS(E_F) = 7.69 states/eV/cell; space-group type = Cmmm (65); crystal system = orthorhombic; ΔE_f = -368 meV per atom
1.0
3.5823 -4.5915 0.0000
3.5823 4.5915 0.0000
0.0000 0.0000 3.4059
U Be B
2 2 8
direct
0.1968 0.8032 0.0000 U
0.8032 0.1968 0.0000 U
0.3235 0.3235 0.0000 Be
0.6765 0.6765 0.0000 Be
0.1180 0.4351 0.5000 B
0.1231 0.1231 0.5000 B
0.4083 0.5917 0.5000 B
0.4351 0.1180 0.5000 B
0.5649 0.8820 0.5000 B
0.5917 0.4083 0.5000 B
0.8769 0.8769 0.5000 B
0.8820 0.5649 0.5000 B



Record 2
GGA-PBE UBe2B4, relaxed; DOS(E_F) = 3.02 states/eV/cell; space-group type = Immm (71); crystal system = orthorhombic; ΔE_f = -6 meV per atom
1.0
-1.5491 1.7753 6.1823
1.5491 -1.7753 6.1823
1.5491 1.7753 -6.1823
U Be B
1 2 4
direct
0.0000 0.0000 0.0000 U
0.1942 0.6942 0.5000 Be
0.8058 0.3058 0.5000 Be
0.3528 0.8528 0.5000 B
0.4169 0.4169 0.0000 B
0.5831 0.5831 0.0000 B
0.6472 0.1472 0.5000 B



Record 3
GGA-PBE UBe3B3, relaxed; DOS(E_F) = 9.13 states/eV/cell; space-group type = P2_1/m (11); crystal system = monoclinic; ΔE_f = -44 meV per atom
1.0
6.9873 0.0000 0.0000
0.0000 2.9637 0.0000
-0.2778 0.0000 7.1910
U Be B
2 6 6
direct
0.2410 0.2500 0.2687 U
0.7590 0.7500 0.7313 U
0.1164 0.2500 0.6934 Be
0.1983 0.7500 0.9094 Be
0.3267 0.7500 0.6215 Be
0.6733 0.2500 0.3785 Be
0.8017 0.2500 0.0906 Be
0.8836 0.7500 0.3066 Be
0.0151 0.2500 0.9396 B
0.0648 0.7500 0.5095 B
0.4929 0.2500 0.5598 B
0.5071 0.7500 0.4402 B
0.9352 0.2500 0.4905 B
0.9849 0.7500 0.0604 B



Record 4
GGA-PBE BeV8B2, relaxed; DOS(E_F) = 10.65 states/eV/cell; space-group type = C2/m (12); crystal system = monoclinic; ΔE_f = -104 meV per atom
1.0
3.2513 -4.9879 0.0000
3.2513 4.9879 0.0000
-0.8726 0.0000 4.0346
Be V B
1 8 2
direct
0.0000 0.0000 0.0000 Be
0.0732 0.3201 0.5549 V
0.2425 0.7575 0.0000 V
0.3201 0.0732 0.5549 V
0.3921 0.3921 0.1771 V
0.6079 0.6079 0.8229 V
0.6799 0.9268 0.4451 V
0.7575 0.2425 0.0000 V
0.9268 0.6799 0.4451 V
0.3135 0.6865 0.5000 B
0.6865 0.3135 0.5000 B



Record 5
GGA-PBE BeV2B2, relaxed; DOS(E_F) = 4.45 states/eV/cell; space-group type = P4/mbm (127); crystal system = tetragonal; ΔE_f = -567 meV per atom; E above lowest polymorph = 16 meV/atom
1.0
5.3612 0.0000 0.0000
0.0000 5.3612 0.0000
0.0000 0.0000 3.1174
Be V B
2 4 4
direct
0.0000 0.0000 0.0000 Be
0.5000 0.5000 0.0000 Be
0.1804 0.3196 0.5000 V
0.3196 0.8196 0.5000 V
0.6804 0.1804 0.5000 V
0.8196 0.6804 0.5000 V
0.1134 0.6134 0.0000 B
0.3866 0.1134 0.0000 B
0.6134 0.8866 0.0000 B
0.8866 0.3866 0.0000 B



Record 6
GGA-PBE BeV2B2, relaxed; DOS(E_F) = 3.38 states/eV/cell; space-group type = Cmmm (65); crystal system = orthorhombic; ΔE_f = -583 meV per atom; E above lowest polymorph = 0 meV/atom
1.0
1.4684 -5.0267 0.0000
1.4684 5.0267 0.0000
0.0000 0.0000 3.0526
Be V B
1 2 2
direct
0.0000 0.0000 0.0000 Be
0.3677 0.6323 0.5000 V
0.6323 0.3677 0.5000 V
0.2019 0.7981 0.0000 B
0.7981 0.2019 0.0000 B



Record 7
GGA-PBE BeV4B2, relaxed; DOS(E_F) = 3.87 states/eV/cell; space-group type = R-3m (166); crystal system = trigonal; ΔE_f = -144 meV per atom
1.0
1.6139 0.9318 8.5385
-1.6139 0.9318 8.5385
0.0000 -1.8635 8.5385
Be V B
1 4 2
direct
0.0000 0.0000 0.0000 Be
0.2018 0.2018 0.2018 V
0.3846 0.3846 0.3846 V
0.6154 0.6154 0.6154 V
0.7982 0.7982 0.7982 V
0.0922 0.0922 0.0922 B
0.9078 0.9078 0.9078 B



Record 8
GGA-PBE BeVB4, relaxed; DOS(E_F) = 4.11 states/eV/cell; space-group type = Cmmm (65); crystal system = orthorhombic; ΔE_f = -154 meV per atom
1.0
3.4450 -4.4117 0.0000
3.4450 4.4117 0.0000
0.0000 0.0000 2.9903
Be V B
2 2 8
direct
0.1740 0.1740 0.0000 Be
0.8260 0.8260 0.0000 Be
0.2973 0.7027 0.0000 V
0.7027 0.2973 0.0000 V
0.0698 0.3872 0.5000 B
0.0959 0.9041 0.5000 B
0.3792 0.3792 0.5000 B
0.3872 0.0698 0.5000 B
0.6128 0.9302 0.5000 B
0.6208 0.6208 0.5000 B
0.9041 0.0959 0.5000 B
0.9302 0.6128 0.5000 B



Record 9
GGA-PBE BeV2B3, relaxed; DOS(E_F) = 3.51 states/eV/cell; space-group type = P6_3/mmc (194); crystal system = hexagonal; ΔE_f = -625 meV per atom
1.0
3.0719 0.0000 0.0000
-1.5360 2.6604 0.0000
0.0000 0.0000 11.9778
Be V B
2 4 6
direct
0.3333 0.6667 0.2500 Be
0.6667 0.3333 0.7500 Be
0.0000 0.0000 0.1234 V
0.0000 0.0000 0.3766 V
0.0000 0.0000 0.6234 V
0.0000 0.0000 0.8766 V
0.3333 0.6667 0.0002 B
0.3333 0.6667 0.4998 B
0.3333 0.6667 0.7500 B
0.6667 0.3333 0.9998 B
0.6667 0.3333 0.2500 B
0.6667 0.3333 0.5002 B



Record 10
GGA-PBE Be16V2B, relaxed; DOS(E_F) = 3.36 states/eV/cell; space-group type = R3m (160); crystal system = trigonal; ΔE_f = -95 meV per atom
1.0
3.5886 2.0719 3.5061
-3.5886 2.0719 3.5061
0.0000 -4.1438 3.5061
Be V B
16 2 1
direct
0.0009 0.3058 0.6933 Be
0.0009 0.6933 0.3058 Be
0.0867 0.0867 0.0867 Be
0.1605 0.6546 0.6546 Be
0.3058 0.0009 0.6933 Be
0.3058 0.6933 0.0009 Be
0.3465 0.3465 0.8375 Be
0.3465 0.8375 0.3465 Be
0.5034 0.9975 0.9975 Be
0.6546 0.1605 0.6546 Be
0.6546 0.6546 0.1605 Be
0.6933 0.0009 0.3058 Be
0.6933 0.3058 0.0009 Be
0.8375 0.3465 0.3465 Be
0.9975 0.5034 0.9975 Be
0.9975 0.9975 0.5034 Be
0.3354 0.3354 0.3354 V
0.6681 0.6681 0.6681 V
0.8905 0.8905 0.8905 B



Record 11
GGA-PBE Be3VB, relaxed; DOS(E_F) = 2.38 states/eV/cell; space-group type = Pm-3m (221); crystal system = cubic; ΔE_f = 329 meV per atom; E above lowest polymorph = 0 meV/atom
1.0
3.5896 0.0000 0.0000
0.0000 3.5896 0.0000
0.0000 0.0000 3.5896
Be V B
3 1 1
direct
0.0000 0.0000 0.5000 Be
0.0000 0.5000 0.0000 Be
0.5000 0.0000 0.0000 Be
0.5000 0.5000 0.5000 V
0.0000 0.0000 0.0000 B



Record 12
GGA-PBE BeV4B3, relaxed; DOS(E_F) = 2.77 states/eV/cell; space-group type = Pmm2 (25); crystal system = orthorhombic; ΔE_f = -659 meV per atom
1.0
3.0188 0.0000 0.0000
0.0000 3.0488 0.0000
0.0000 0.0000 8.1893
Be V B
1 4 3
direct
0.0000 0.0000 0.0000 Be
0.0000 0.0000 0.7072 V
0.0000 0.5000 0.2167 V
0.5000 0.0000 0.4169 V
0.5000 0.5000 0.9112 V
0.0000 0.5000 0.5014 B
0.5000 0.0000 0.1347 B
0.5000 0.5000 0.6240 B



Please write out number 7 again, unchanged.
GGA-PBE BeV4B2, relaxed; DOS(E_F) = 3.87 states/eV/cell; space-group type = R-3m (166); crystal system = trigonal; ΔE_f = -144 meV per atom
1.0
1.6139 0.9318 8.5385
-1.6139 0.9318 8.5385
0.0000 -1.8635 8.5385
Be V B
1 4 2
direct
0.0000 0.0000 0.0000 Be
0.2018 0.2018 0.2018 V
0.3846 0.3846 0.3846 V
0.6154 0.6154 0.6154 V
0.7982 0.7982 0.7982 V
0.0922 0.0922 0.0922 B
0.9078 0.9078 0.9078 B



What did the eighth record say?
GGA-PBE BeVB4, relaxed; DOS(E_F) = 4.11 states/eV/cell; space-group type = Cmmm (65); crystal system = orthorhombic; ΔE_f = -154 meV per atom
1.0
3.4450 -4.4117 0.0000
3.4450 4.4117 0.0000
0.0000 0.0000 2.9903
Be V B
2 2 8
direct
0.1740 0.1740 0.0000 Be
0.8260 0.8260 0.0000 Be
0.2973 0.7027 0.0000 V
0.7027 0.2973 0.0000 V
0.0698 0.3872 0.5000 B
0.0959 0.9041 0.5000 B
0.3792 0.3792 0.5000 B
0.3872 0.0698 0.5000 B
0.6128 0.9302 0.5000 B
0.6208 0.6208 0.5000 B
0.9041 0.0959 0.5000 B
0.9302 0.6128 0.5000 B



The highest ΔE_f belongs to which entry? Be3VB



Look up the DOS(E_F) of the twelfth one. 2.77 states/eV/cell